# CaScPd2

A relaxed structure of CaScPd2 (PBE-GGA, Alexandria).

a = 3.3776 Å, b = 3.3776 Å, c = 7.0151 Å
α = 90.00°, β = 90.00°, γ = 90.00°
Sites, in units of the cell vectors:
Ca: 0.0000 0.0000 0.0000
Sc: 0.0000 0.0000 0.5000
Pd: 0.5000 0.5000 0.2846
Pd: 0.5000 0.5000 0.7154

Computed properties:
Polymorph energy (0 for the lowest one) = 0 meV/atom
ρ = 6.18 g/cm3
Calculated volume = 20.0 Å³/atom